1.
BaVSeS2: optimized geometry, PBE.

Results
Calculated volume ... 114.0 Å³/f.u.
Formation energy without anion corrections ... -1.175 eV per atom
Offset from the most stable computed form ... 115 meV per atom
Spin magnetization ... 0.85 Bohr magnetons per cell

Lattice parameters (Å, degrees): 4.696 4.696 5.170 90.00 90.00 90.00
Space group P4/mmm (No. 123)
Asymmetric unit:
Ba (0.000, 0.000, 0.000) x1
V (0.500, 0.500, 0.500) x1
Se (0.500, 0.500, 0.000) x1
S (0.000, 0.500, 0.500) x2

2.
Ba2SrLi3: optimized geometry, PBE.

Results
Calculated volume ... 247.4 Å³/f.u.
DFT formation energy ... 0.230 eV/f.u.
Spin magnetization ... 0.00 Bohr magnetons per cell

Lattice parameters (Å, degrees): 4.382 4.382 12.883 90.00 90.00 90.00
Space group P4/mmm (No. 123)
Asymmetric unit:
Ba (0.000, 0.000, 0.169) x2
Sr (0.000, 0.000, 0.500) x1
Li (0.500, 0.500, 0.000) x1
Li (0.500, 0.500, 0.348) x2

3.
LiP2: optimized geometry, PBE.

Results
Calculated volume ... 57.2 Å³/f.u.
DFT formation energy ... -1.014 eV/f.u.
Offset from the most stable computed form ... 0 meV per atom
Spin magnetization ... 0.00 Bohr magnetons per cell

Lattice parameters (Å, degrees): 13.417 3.285 5.454 90.00 107.90 90.00
Space group C2/m (No. 12)
Asymmetric unit:
Li (0.170, 0.000, 0.220) x4
P (0.080, 0.500, 0.478) x4
P (0.158, 0.000, 0.738) x4

4.
ErAgAu5: optimized geometry, PBE.

Results
Calculated volume ... 140.4 Å³/f.u.
DFT formation energy ... -2.322 eV/f.u.
Spin magnetization ... 0.00 Bohr magnetons per cell

Lattice parameters (Å, degrees): 9.688 8.192 7.405 90.00 107.12 90.00
Space group C2/c (No. 15)
Asymmetric unit:
Er (0.250, 0.250, 0.000) x4
Ag (0.000, 0.228, 0.250) x4
Au (0.000, 0.429, 0.750) x4
Au (0.096, 0.093, 0.641) x8
Au (0.207, 0.404, 0.570) x8

5.
RbTc2B: optimized geometry, PBE.

Results
Calculated volume ... 94.4 Å³/f.u.
DFT formation energy ... 5.491 eV/f.u.
Offset from the most stable computed form ... 0 meV per atom
Spin magnetization ... 0.00 Bohr magnetons per cell

Lattice parameters (Å, degrees): 6.433 6.433 9.130 90.00 90.00 90.00
Space group I4_1/amd (No. 141, origin choice 2)
Asymmetric unit:
Rb (0.000, 0.250, 0.375) x4
Tc (0.000, 0.000, 0.000) x8
B (0.000, 0.250, 0.875) x4

6.
CuP3S: optimized geometry, PBE.

Results
Calculated volume ... 89.9 Å³/f.u.
Formation energy without anion corrections ... 1.146 eV per atom
Offset from the most stable computed form ... 55 meV per atom
Spin magnetization ... 0.00 Bohr magnetons per cell

Lattice parameters (Å, degrees): 4.480 4.480 4.480 90.00 90.00 90.00
Space group Pm-3m (No. 221)
Asymmetric unit:
Cu (0.000, 0.000, 0.000) x1
P (0.000, 0.500, 0.500) x3
S (0.500, 0.500, 0.500) x1

7.
CeInSnPb: optimized geometry, PBE.

Results
Calculated volume ... 108.8 Å³/f.u.
DFT formation energy ... -1.753 eV/f.u.
Spin magnetization ... 0.76 Bohr magnetons per cell

Lattice parameters (Å, degrees): 4.664 4.814 4.845 90.00 90.00 90.00
Space group Pmmm (No. 47)
Asymmetric unit:
Ce (0.000, 0.000, 0.000) x1
In (0.000, 0.500, 0.500) x1
Sn (0.500, 0.500, 0.000) x1
Pb (0.500, 0.000, 0.500) x1

8.
Pr4SmY2: optimized geometry, PBE.

Results
Calculated volume ... 251.6 Å³/f.u.
DFT formation energy ... 3.177 eV/f.u.
Offset from the most stable computed form ... 395 meV per atom
Spin magnetization ... 0.00 Bohr magnetons per cell

Lattice parameters (Å, degrees): 6.273 13.161 6.095 90.00 90.00 90.00
Space group Cmmm (No. 65)
Asymmetric unit:
Pr (0.000, 0.136, 0.000) x4
Pr (0.000, 0.306, 0.500) x4
Sm (0.000, 0.000, 0.500) x2
Y (0.000, 0.386, 0.000) x4

9.
Pm5In2Si2: optimized geometry, PBE.

Results
Calculated volume ... 249.8 Å³/f.u.
Formation energy without anion corrections ... -0.550 eV per atom
Spin magnetization ... 0.00 Bohr magnetons per cell

Lattice parameters (Å, degrees): 16.219 7.819 7.881 90.00 90.00 90.00
Space group Cmce (No. 64)
Asymmetric unit:
Pm (0.000, 0.000, 0.000) x4
Pm (0.125, 0.189, 0.317) x16
In (0.223, 0.000, 0.000) x8
Si (0.000, 0.111, 0.614) x8

10.
In2HgI2: optimized geometry, PBE.

Results
Calculated volume ... 186.3 Å³/f.u.
Formation energy without anion corrections ... -0.346 eV per atom
Offset from the most stable computed form ... 0 meV per atom
Spin magnetization ... 0.00 Bohr magnetons per cell

Lattice parameters (Å, degrees): 8.889 8.889 4.714 90.00 90.00 90.00
Space group P4/mbm (No. 127)
Asymmetric unit:
In (0.141, 0.359, 0.000) x4
Hg (0.000, 0.000, 0.000) x2
I (0.170, 0.670, 0.500) x4

11.
ScZnTe2: optimized geometry, PBE.

Results
Calculated volume ... 114.6 Å³/f.u.
Formation energy without anion corrections ... -0.598 eV per atom
Spin magnetization ... 0.00 Bohr magnetons per cell

Lattice parameters (Å, degrees): 4.1877 4.1877 22.6460 90.00 90.00 120.00
Space group R3m (No. 160, hexagonal axes)
Asymmetric unit:
Sc (0.0000, 0.0000, 0.0000) x3
Zn (0.0000, 0.0000, 0.7395) x3
Te (0.0000, 0.0000, 0.2663) x3
Te (0.0000, 0.0000, 0.4535) x3

12.
ZrSiTc3: optimized geometry, PBE.

Results
Calculated volume ... 108.7 Å³/f.u.
Formation energy without anion corrections ... 2.088 eV per atom
Offset from the most stable computed form ... 1773 meV per atom
Spin magnetization ... 3.36 Bohr magnetons per cell

Lattice parameters (Å, degrees): 4.772 4.772 4.772 90.00 90.00 90.00
Space group Pm-3m (No. 221)
Asymmetric unit:
Zr (0.000, 0.000, 0.000) x1
Si (0.500, 0.500, 0.500) x1
Tc (0.000, 0.000, 0.500) x3

> What is the calculated volume in the fourth record?

140.4 Å³/f.u.

> Which formula does entry 9 have?

Pm5In2Si2